Li2FeWO6: optimized geometry, PBE with a Hubbard U.

## Properties
electronic total energy = -6.397 eV/atom

Unit cell a=5.4449 b=5.4449 c=5.4449 alpha=56.07 beta=56.07 gamma=56.07
With the nearest neighbours (Å) after each atom.
Positions (direct):
Li 0.0000 0.0000 0.0000  6 O 2.04-2.24
Li 0.4996 0.4996 0.4996  6 O 2.05-2.26
Fe 0.7129 0.7129 0.7129  6 O 1.94-2.07
W 0.2130 0.2130 0.2130  6 O 1.89-2.01
O 0.0812 0.8389 0.4355  1 Fe 1.94, 1 W 2.01, 1 Li 2.05
O 0.3275 0.5769 0.9454  1 W 1.89, 1 Li 2.04, 1 Fe 2.07
O 0.4355 0.0812 0.8389  1 Fe 1.94, 1 W 2.01, 1 Li 2.05
O 0.5769 0.9454 0.3275  1 W 1.89, 1 Li 2.04, 1 Fe 2.07
O 0.8389 0.4355 0.0812  1 Fe 1.94, 1 W 2.01, 1 Li 2.05
O 0.9454 0.3275 0.5769  1 W 1.89, 1 Li 2.04, 1 Fe 2.07